# 1
An optimized crystal structure of LiH3Pd. Source: Alexandria, functional GGA-PBE.

Cell and atoms, written as POSCAR:
```
LiH3Pd
1.0
3.152 0.000 0.000
-1.576 2.729 0.000
0.000 0.000 9.451
Li H Pd
2 6 2
direct
0.333 0.667 0.250
0.667 0.333 0.750
0.000 0.000 0.250
0.000 0.000 0.750
0.333 0.667 0.041
0.333 0.667 0.459
0.667 0.333 0.541
0.667 0.333 0.959
0.000 0.000 0.000
0.000 0.000 0.500
```

Computed properties:
The calculation puts the density of states at the Fermi level at 0.00 states/eV per cell. The total energy is -3.545 eV per atom. The total magnetization comes out at 0.0000 μB per atom.

# 2
An optimized crystal structure of ScNi. Source: Alexandria, functional GGA-PBE.

Cell and atoms, written as POSCAR:
```
ScNi
1.0
6.265 0.000 0.000
-3.133 5.426 0.000
0.000 0.000 3.032
Sc Ni
3 3
direct
0.000 0.590 0.000
0.410 0.410 0.000
0.590 0.000 0.000
0.000 0.232 0.500
0.232 0.000 0.500
0.768 0.768 0.500
```

Computed properties:
The formation enthalpy at 0 K comes out at -0.25 eV/atom. The calculation puts the density of states at the Fermi level at 4.20 states/eV per cell. The total energy is -6.307 eV per atom. The total magnetization comes out at 0.0000 μB per atom.

# 3
An optimized crystal structure of KEr2AgS4. Source: Alexandria, functional GGA-PBE.

Cell and atoms, written as POSCAR:
```
KEr2AgS4
1.0
2.007 -6.715 0.000
2.007 6.715 0.000
0.000 0.000 14.142
K Er Ag S
2 4 2 8
direct
0.117 0.883 0.750
0.883 0.117 0.250
0.368 0.632 0.566
0.368 0.632 0.934
0.632 0.368 0.066
0.632 0.368 0.434
0.165 0.835 0.250
0.835 0.165 0.750
0.000 0.000 0.000
0.000 0.000 0.500
0.264 0.736 0.100
0.264 0.736 0.400
0.445 0.555 0.750
0.555 0.445 0.250
0.736 0.264 0.600
0.736 0.264 0.900
```

Computed properties:
The calculation puts the density of states at the Fermi level at 0.00 states/eV per cell. The total energy is -5.276 eV per atom. The total magnetization comes out at 0.0000 μB per atom. The uncorrected formation energy is -36.39 kcal/mol of atoms.

# 4
An optimized crystal structure of GeB4. Source: Alexandria, functional GGA-PBE.

Cell and atoms, written as POSCAR:
```
GeB4
1.0
4.108 0.000 0.000
0.000 4.108 0.000
0.000 0.000 4.108
Ge B
1 4
direct
0.000 0.000 0.000
0.000 0.000 0.500
0.000 0.500 0.000
0.500 0.000 0.000
0.500 0.500 0.500
```

Computed properties:
The formation enthalpy at 0 K comes out at 2.65 eV/atom. The calculation puts the density of states at the Fermi level at 3.61 states/eV per cell. The total energy is -3.618 eV per atom. The total magnetization comes out at 0.0000 μB per atom.

# 5
An optimized crystal structure of Sr2InNiGe. Source: Alexandria, functional GGA-PBE.

Cell and atoms, written as POSCAR:
```
Sr2InNiGe
1.0
5.761 0.000 0.000
0.000 5.761 0.000
0.000 0.000 4.480
Sr In Ni Ge
2 1 1 1
direct
0.000 0.500 0.000
0.500 0.000 0.000
0.000 0.000 0.500
0.500 0.500 0.000
0.500 0.500 0.500
```

Computed properties:
The formation enthalpy at 0 K comes out at -0.29 eV/atom. The calculation puts the density of states at the Fermi level at 2.46 states/eV per cell. The total energy is -3.592 eV per atom. The total magnetization comes out at 0.0000 μB per atom.

# 6
An optimized crystal structure of Ce2ScWN5. Source: Alexandria, functional GGA-PBE.

Cell and atoms, written as POSCAR:
```
Ce2ScWN5
1.0
1.701 -6.710 0.000
1.701 6.710 0.000
0.000 0.000 10.343
Ce Sc W N
4 2 2 10
direct
0.111 0.889 0.500
0.148 0.852 0.108
0.852 0.148 0.608
0.889 0.111 0.000
0.216 0.784 0.822
0.784 0.216 0.322
0.472 0.528 0.272
0.528 0.472 0.772
0.050 0.950 0.861
0.279 0.721 0.474
0.325 0.675 0.190
0.376 0.624 0.815
0.487 0.513 0.594
0.513 0.487 0.094
0.624 0.376 0.315
0.675 0.325 0.690
0.721 0.279 0.974
0.950 0.050 0.361
```

Computed properties:
The calculation puts the density of states at the Fermi level at 17.05 states/eV per cell. The total energy is -9.344 eV per atom. The total magnetization comes out at 0.0439 μB per atom. The uncorrected formation energy is -29.00 kcal/mol of atoms.

# 7
An optimized crystal structure of Ba2CrHg. Source: Alexandria, functional GGA-PBE.

Cell and atoms, written as POSCAR:
```
Ba2CrHg
1.0
4.968 0.000 0.000
0.000 2.499 6.327
0.000 -2.499 6.327
Ba Cr Hg
2 1 1
direct
0.000 0.000 0.000
0.500 0.288 0.288
0.000 0.702 0.702
0.500 0.583 0.583
```

Computed properties:
The formation enthalpy at 0 K comes out at 0.12 eV/atom. The calculation puts the density of states at the Fermi level at 3.93 states/eV per cell. The total energy is -3.321 eV per atom. The total magnetization comes out at 1.1982 μB per atom.

# 8
An optimized crystal structure of VCoC. Source: Alexandria, functional GGA-PBE.

Cell and atoms, written as POSCAR:
```
VCoC
1.0
1.457 -4.076 0.000
1.457 4.076 0.000
0.000 0.000 4.638
V Co C
2 2 2
direct
0.218 0.782 0.750
0.782 0.218 0.250
0.500 0.500 0.000
0.500 0.500 0.500
0.101 0.899 0.250
0.899 0.101 0.750
```

Computed properties:
The formation enthalpy at 0 K comes out at -0.13 eV/atom. The calculation puts the density of states at the Fermi level at 5.22 states/eV per cell. The total energy is -8.612 eV per atom. The total magnetization comes out at 0.0002 μB per atom.

# 9
An optimized crystal structure of Li7RuO6. Source: Alexandria, functional GGA-PBE.

Cell and atoms, written as POSCAR:
```
Li7RuO6
1.0
5.352 0.000 0.000
-2.655 4.751 0.000
-2.557 -1.540 5.011
Li Ru O
7 1 6
direct
0.000 0.000 0.000
0.047 0.851 0.425
0.151 0.252 0.724
0.453 0.747 0.017
0.588 0.123 0.378
0.691 0.353 0.010
0.897 0.596 0.740
0.306 0.501 0.387
0.141 0.725 0.143
0.165 0.587 0.622
0.414 0.390 0.125
0.455 0.274 0.612
0.766 0.861 0.602
0.853 0.128 0.186
```

Computed properties:
The total energy is -5.423 eV per atom. The total magnetization comes out at 0.2143 μB per atom. The uncorrected formation energy is -38.71 kcal/mol of atoms. The calculation puts the energy above the most stable polymorph in this dataset at 0.00 eV/f.u.

# 10
An optimized crystal structure of CaMg2Zn2Ge2. Source: Alexandria, functional GGA-PBE.

Cell and atoms, written as POSCAR:
```
CaMg2Zn2Ge2
1.0
2.247 1.297 8.064
-2.247 1.297 8.064
0.000 -2.594 8.064
Ca Mg Zn Ge
1 2 2 2
direct
0.000 0.000 0.000
0.139 0.139 0.139
0.861 0.861 0.861
0.439 0.439 0.439
0.561 0.561 0.561
0.256 0.256 0.256
0.744 0.744 0.744
```

Computed properties:
The formation enthalpy at 0 K comes out at -0.24 eV/atom. The calculation puts the density of states at the Fermi level at 2.09 states/eV per cell. The total energy is -2.663 eV per atom. The total magnetization comes out at 0.0000 μB per atom.

# 11
An optimized crystal structure of Dy2GaSi2Ni5. Source: Alexandria, functional GGA-PBE.

Cell and atoms, written as POSCAR:
```
Dy2GaSi2Ni5
1.0
9.845 0.000 0.000
0.000 9.845 0.000
0.000 0.000 3.039
Dy Ga Si Ni
4 2 4 10
direct
0.176 0.324 0.000
0.324 0.824 0.000
0.676 0.176 0.000
0.824 0.676 0.000
0.000 0.000 0.000
0.500 0.500 0.000
0.125 0.625 0.000
0.375 0.125 0.000
0.625 0.875 0.000
0.875 0.375 0.000
0.000 0.500 0.500
0.056 0.795 0.500
0.205 0.056 0.500
0.295 0.556 0.500
0.444 0.295 0.500
0.500 0.000 0.500
0.556 0.705 0.500
0.705 0.444 0.500
0.795 0.944 0.500
0.944 0.205 0.500
```

Computed properties:
The calculation puts the density of states at the Fermi level at 14.27 states/eV per cell. The total energy is -5.680 eV per atom. The total magnetization comes out at 0.0000 μB per atom. The uncorrected formation energy is -11.10 kcal/mol of atoms.

> total energy of number 7 (Ba2CrHg)?

-3.321 eV per atom